# Ba2CdWO, relaxed, DFT GGA+U
# Raw total energy in eV per atom: -2.943
# Fermi-level density of states in states/eV per atom: 0.878
data_Ba2CdWO
_cell_length_a 6.641
_cell_length_b 6.641
_cell_length_c 4.228
_cell_angle_alpha 90.00
_cell_angle_beta 90.00
_cell_angle_gamma 90.00
_symmetry_space_group_name_H-M 'P 1'
_symmetry_Int_Tables_number 1
loop_
_symmetry_equiv_pos_as_xyz
'x,y,z'
loop_
_atom_site_label
_atom_site_fract_x
_atom_site_fract_y
_atom_site_fract_z
Ba1 0.000 0.500 0.000
Ba2 0.500 0.000 0.000
Cd1 0.000 0.000 0.000
W1 0.500 0.500 0.500
O1 0.000 0.000 0.500